[1]
Material: Fe2MoW
Method: DFT, GGA-PBEsol
State: optimized geometry

Lattice parameters (Å, degrees): 2.581 4.226 4.929 90.00 98.83 90.00
Last column: magnetic moment on the atom in μB.
Element x y z (fractional)
Fe 0.978 0.000 0.003  2.15
Fe 0.772 0.500 0.248  2.16
Mo 0.497 0.000 0.484  -0.01
W 0.253 0.500 0.766  -0.05

Calculated values
- electronic total energy (eV/atom) = -10.75

***

[2]
Material: FeMo2W
Method: DFT, GGA-PBEsol
State: optimized geometry

Lattice parameters (Å, degrees): 2.663 2.663 8.521 90.00 90.00 108.22
Last column: magnetic moment on the atom in μB.
Element x y z (fractional)
Mo 0.000 0.000 0.013  -0.04
Mo 0.500 0.500 0.751  -0.01
Fe 0.500 0.500 0.249  2.02
W 0.000 0.000 0.487  -0.04

Calculated values
- electronic total energy (eV/atom) = -11.49

***

[3]
Material: Fe2MoW
Method: DFT, GGA-PBEsol
State: optimized geometry

Lattice parameters (Å, degrees): 2.967 4.201 4.201 90.00 90.00 90.00
Last column: magnetic moment on the atom in μB.
Element x y z (fractional)
Fe 0.000 0.000 0.500  1.74
Fe 0.000 0.500 0.000  1.74
Mo 0.500 0.500 0.500  0.14
W 0.500 0.000 0.000  -0.05

Calculated values
- electronic total energy (eV/atom) = -10.68

***

[4]
Material: FeMo2W
Method: DFT, GGA-PBEsol
State: optimized geometry

Lattice parameters (Å, degrees): 4.328 4.328 4.328 60.00 60.00 60.00
Last column: magnetic moment on the atom in μB.
Element x y z (fractional)
Fe 0.500 0.500 0.500  1.86
Mo 0.000 0.000 0.000  0.04
Mo 0.250 0.250 0.250  0.07
W 0.750 0.750 0.750  -0.08

Calculated values
- electronic total energy (eV/atom) = -11.42

***

[5]
Material: Fe3MoW
Method: DFT, GGA-PBEsol
State: optimized geometry

Lattice parameters (Å, degrees): 4.236 4.236 4.236 90.00 90.00 90.00
Last column: magnetic moment on the atom in μB.
Element x y z (fractional)
Mo 0.000 0.000 0.000  -0.40
Fe 0.000 0.500 0.000  1.38
Fe 0.000 0.000 0.500  1.38
Fe 0.500 0.000 0.000  1.38
W 0.500 0.500 0.500  0.34

Calculated values
- electronic total energy (eV/atom) = -8.68

***

[6]
Material: YFe2Mo
Method: DFT, GGA-PBEsol
State: optimized geometry

Lattice parameters (Å, degrees): 2.868 2.868 8.965 80.80 80.80 60.00
Last column: magnetic moment on the atom in μB.
Element x y z (fractional)
Fe 0.987 0.987 0.039  2.53
Fe 0.254 0.254 0.239  2.11
Mo 0.514 0.514 0.459  -0.18
Y 0.746 0.746 0.763  -0.09

Calculated values
- electronic total energy (eV/atom) = -8.52

***

[7]
Material: YFeMo2
Method: DFT, GGA-PBEsol
State: optimized geometry

Lattice parameters (Å, degrees): 2.784 2.784 8.329 90.00 90.00 89.79
Element x y z (fractional)
Fe 0.500 0.500 0.000
Mo 0.000 0.000 0.198
Mo 0.000 0.000 0.802
Y 0.500 0.500 0.500

Calculated values
- electronic total energy (eV/atom) = -9.39

***

[8]
Material: YFeMo2
Method: DFT, GGA-PBEsol
State: optimized geometry

Lattice parameters (Å, degrees): 2.822 4.617 5.071 90.00 100.92 90.00
Last column: magnetic moment on the atom in μB.
Element x y z (fractional)
Fe 0.000 0.500 0.500  1.63
Mo 0.772 0.000 0.741  -0.13
Mo 0.228 0.000 0.259  -0.13
Y 0.500 0.500 0.000  -0.17

Calculated values
- electronic total energy (eV/atom) = -9.33

***

[9]
Material: YFe2Mo2
Method: DFT, GGA-PBEsol
State: optimized geometry

Lattice parameters (Å, degrees): 4.122 4.122 5.605 111.58 111.58 90.00
Element x y z (fractional)
Y 0.000 0.000 0.000
Mo 0.250 0.750 0.500
Mo 0.750 0.250 0.500
Fe 0.374 0.374 0.749
Fe 0.626 0.626 0.251

Calculated values
- electronic total energy (eV/atom) = -9.62

***

[10]
Material: YFeMo2
Method: DFT, GGA-PBEsol
State: optimized geometry

Lattice parameters (Å, degrees): 3.143 3.143 6.760 90.00 90.00 90.00
Last column: magnetic moment on the atom in μB.
Element x y z (fractional)
Fe 0.500 0.500 0.205  1.51
Mo 0.000 0.000 0.007  -0.23
Mo 0.500 0.500 0.796  0.11
Y 0.000 0.000 0.492  -0.14

Calculated values
- electronic total energy (eV/atom) = -9.57

***

[11]
Material: YFe2Mo
Method: DFT, GGA-PBEsol
State: optimized geometry

Lattice parameters (Å, degrees): 3.016 3.016 6.883 90.00 90.00 90.00
Last column: magnetic moment on the atom in μB.
Element x y z (fractional)
Fe 0.000 0.000 0.060  2.35
Fe 0.500 0.500 0.240  1.75
Mo 0.000 0.000 0.436  -0.18
Y 0.500 0.500 0.764  -0.14

Calculated values
- electronic total energy (eV/atom) = -8.84

***

[12]
Material: YFe3Mo
Method: DFT, GGA-PBEsol
State: optimized geometry

Lattice parameters (Å, degrees): 4.380 4.380 4.380 90.00 90.00 90.00
Last column: magnetic moment on the atom in μB.
Element x y z (fractional)
Y 0.500 0.500 0.500  -0.15
Mo 0.000 0.000 0.000  -0.25
Fe 0.000 0.500 0.000  0.71
Fe 0.000 0.000 0.500  0.71
Fe 0.500 0.000 0.000  0.71

Calculated values
- electronic total energy (eV/atom) = -8.24